(1)
Here is crystalline Ag2SnN at its relaxed geometry from Alexandria via LeMat-Bulk. Energies are from PBE.

extended XYZ file:
```
8
Lattice="-1.0545 -4.3106 -2.7557 4.6929 0.3056 -2.2738 4.2650 -5.5252 2.0595" Properties=species:S:1:pos:R:3 pbc="T T T"
Sn 0.0000 0.0000 0.0000
Sn 2.5148 -5.9191 -1.6055
Ag 1.1650 -3.3375 -1.0444
Ag 3.6963 -2.4288 -1.6980
Ag 5.3249 -5.5961 -0.7105
Ag 5.6206 -7.6979 -2.4871
N 1.8192 -2.0025 -2.5148
N 5.3886 -3.6110 -1.3645
```

Properties
DOS at the Fermi energy: 2.10 states/eV/f.u.
energy relative to the elements, uncorrected: 839 meV/atom
energy above the most stable polymorph in this dataset: 0 meV/atom


(2)
Here is crystalline CsTlPd at its relaxed geometry from Alexandria via LeMat-Bulk. Energies are from PBE.

extended XYZ file:
```
6
Lattice="-3.2106 2.5475 0.6304 -4.2848 -5.4439 0.1753 0.9655 -0.5318 7.0781" Properties=species:S:1:pos:R:3 pbc="T T T"
Cs -2.6118 1.8123 5.4366
Cs -6.5676 -2.3382 2.0391
Tl -2.7768 -0.9702 2.2215
Tl -3.0407 -2.1845 5.7913
Pd -4.8480 0.1693 0.7040
Pd -4.6824 -0.4996 4.2562
```

Properties
DOS at the Fermi energy: 1.01 states/eV/f.u.
calculated formation energy: -75 meV per atom
energy above the most stable polymorph in this dataset: 5 meV/atom


(3)
Here is crystalline AgGeBrO2 at its relaxed geometry from Alexandria via LeMat-Bulk. Energies are from PBE.

extended XYZ file:
```
10
Lattice="-3.3644 1.4709 -1.4005 -0.9368 -6.6749 -4.7600 -2.4661 1.4504 7.4476" Properties=species:S:1:pos:R:3 pbc="T T T"
Ag -1.6215 -4.2305 -3.3048
Ag -5.1458 0.4770 4.5920
Ge -2.4624 -2.9280 0.0833
Ge -4.3049 -0.8255 1.2039
Br -3.5300 -5.0640 0.4045
Br -3.2374 1.3104 0.8826
O -4.2233 -1.9983 -0.2238
O -2.5440 -1.7553 1.5110
O -5.0622 -1.1020 2.7328
O -1.7051 -2.6516 -1.4456
```

Properties
DOS at the Fermi energy: 0.47 states/eV/f.u.
energy relative to the elements, uncorrected: -841 meV/atom


(4)
Here is crystalline KZnAsSe3 at its relaxed geometry from Alexandria via LeMat-Bulk. Energies are from PBE.

extended XYZ file:
```
12
Lattice="-2.7881 -0.9095 -2.7492 1.4253 -8.8798 1.4920 -6.9778 2.8778 6.1246" Properties=species:S:1:pos:R:3 pbc="T T T"
K -2.0820 -1.2809 1.0658
K -6.2587 -5.6305 3.8017
Zn -4.8170 0.7262 3.1755
Zn -3.5237 -7.6377 1.6919
As -0.5956 -5.7419 1.0341
As -7.7451 -1.1695 3.8334
Se -1.7408 -7.9732 -0.0052
Se -6.5999 1.0618 4.8727
Se -2.8860 -5.9591 3.4288
Se -5.4546 -0.9524 1.4387
Se -2.4397 -4.2806 -0.5180
Se -5.9010 -2.6309 5.3854
```

Properties
energy relative to the elements, uncorrected: -628 meV/atom


(5)
Here is crystalline Ba3Mg at its relaxed geometry from Alexandria via LeMat-Bulk. Energies are from PBE.

extended XYZ file:
```
8
Lattice="7.3909 0.0000 0.0000 0.0000 7.3909 0.0000 0.0000 0.0000 7.3909" Properties=species:S:1:pos:R:3 pbc="T T T"
Ba 0.0000 1.8477 3.6954
Ba 0.0000 5.5431 3.6954
Ba 1.8477 3.6954 0.0000
Ba 3.6954 0.0000 1.8477
Ba 3.6954 0.0000 5.5431
Ba 5.5431 3.6954 0.0000
Mg 0.0000 0.0000 0.0000
Mg 3.6954 3.6954 3.6954
```

Properties
DOS at the Fermi energy: 5.18 states/eV/f.u.
calculated formation energy: 90 meV per atom
energy above the most stable polymorph in this dataset: 104 meV/atom


(6)
Here is crystalline TePb at its relaxed geometry from Alexandria via LeMat-Bulk. Energies are from PBE.

extended XYZ file:
```
4
Lattice="-0.9859 3.5719 2.6567 0.8526 -4.0683 1.8737 7.7340 1.8174 0.4267" Properties=species:S:1:pos:R:3 pbc="T T T"
Pb 0.0000 0.0000 0.0000
Pb 3.8670 0.9087 0.2133
Te 2.1733 -1.0672 2.2414
Te 5.4275 2.3883 2.7157
```

Properties
DOS at the Fermi energy: 0.10 states/eV/f.u.
energy relative to the elements, uncorrected: -372 meV/atom


(7)
Here is crystalline ZrTc2Ru at its relaxed geometry from Alexandria via LeMat-Bulk. Energies are from PBE.

extended XYZ file:
```
8
Lattice="-6.6765 1.5365 -2.7005 -3.0939 -2.7006 6.1126 -4.7853 1.7579 2.7904" Properties=species:S:1:pos:R:3 pbc="T T T"
Ru 0.0000 0.0000 0.0000
Ru -8.1734 1.3562 0.8980
Tc -5.9620 1.1097 -0.3095
Tc -3.7584 -1.1037 4.2638
Tc -7.1573 0.9653 3.1836
Tc -12.2335 0.2166 5.2671
Zr -4.8852 -0.5820 1.7060
Zr -6.3822 -0.7623 5.3045
```

Properties
DOS at the Fermi energy: 4.84 states/eV/f.u.
calculated formation energy: 427 meV per atom
energy above the most stable polymorph in this dataset: 487 meV/atom


(8)
Here is crystalline HfUP at its relaxed geometry from Alexandria via LeMat-Bulk. Energies are from PBE.

extended XYZ file:
```
6
Lattice="-1.0110 0.7841 3.5224 -3.6222 0.4362 0.8568 -2.2456 -9.2361 3.4049" Properties=species:S:1:pos:R:3 pbc="T T T"
Hf -3.1720 -0.3316 3.1505
Hf -3.7067 -7.6843 4.6337
P -1.7244 -2.0687 1.9591
P -5.1543 -5.9471 5.8251
U -4.9347 -2.9267 5.2158
U -1.9440 -5.0892 2.5684
```

Properties
DOS at the Fermi energy: 2.20 states/eV/f.u.
calculated formation energy: -611 meV per atom


(9)
Here is crystalline CoPbAu3 at its relaxed geometry from Alexandria via LeMat-Bulk. Energies are from PBE.

extended XYZ file:
```
5
Lattice="4.8563 0.0000 0.0000 0.0000 4.8563 0.0000 0.0000 0.0000 4.8563" Properties=species:S:1:pos:R:3 pbc="T T T"
Pb 2.4281 2.4281 2.4281
Co 0.0000 0.0000 0.0000
Au 0.0000 2.4281 0.0000
Au 0.0000 0.0000 2.4281
Au 2.4281 0.0000 0.0000
```

Properties
DOS at the Fermi energy: 6.95 states/eV/f.u.
calculated formation energy: 452 meV per atom
energy above the most stable polymorph in this dataset: 0 meV/atom


(10)
Here is crystalline SrZrTaIr2 at its relaxed geometry from Alexandria via LeMat-Bulk. Energies are from PBE.

extended XYZ file:
```
5
Lattice="-3.0665 -3.2489 0.8502 2.8756 -3.1348 -1.6079 2.1628 2.5404 5.3460" Properties=species:S:1:pos:R:3 pbc="T T T"
Sr 0.0000 0.0000 0.0000
Zr -0.4996 -1.9502 2.9086
Ta 2.4714 -1.8931 1.6796
Ir 0.4147 -3.3526 0.8469
Ir 1.5571 -0.4907 3.7413
```

Properties
DOS at the Fermi energy: 3.74 states/eV/f.u.
calculated formation energy: -558 meV per atom
energy above the most stable polymorph in this dataset: 0 meV/atom


Number 1: electronic total energy -3.668 eV/atom. Number 2: electronic total energy -2.880 eV/atom. Number 3: electronic total energy -4.653 eV/atom. Number 4: electronic total energy -3.540 eV/atom. Number 5: electronic total energy -1.751 eV/atom. Number 6: electronic total energy -3.797 eV/atom. Number 7: electronic total energy -9.212 eV/atom. Number 8: electronic total energy -9.495 eV/atom. Number 9: electronic total energy -3.677 eV/atom. Number 10: electronic total energy -8.519 eV/atom.